Density functional theory data (meta-GGA SCAN) for a crystal of InReS2Cl relaxed with PBEsol.

Structure (POSCAR):
```
InReS2Cl
1.0
4.959 0.000 0.000
0.000 4.959 0.000
0.000 0.000 4.833
In Re S Cl
1 1 2 1
direct
0.000 0.000 0.000
0.500 0.500 0.500
0.000 0.500 0.000
0.500 0.000 0.000
0.000 0.000 0.500
```

crystal system: tetragonal
total DFT energy (no corrections): -126.67 eV/cell
E_form (uncorrected): 1.010 eV/atom

=====

Density functional theory data (meta-GGA SCAN) for a crystal of ScCoBH2 relaxed with PBEsol.

Structure (POSCAR):
```
ScCoBH2
1.0
3.367 0.000 0.000
0.000 3.367 0.000
0.000 0.000 3.749
Sc Co B H
1 1 1 2
direct
0.000 0.000 0.000
0.500 0.500 0.500
0.500 0.500 0.000
0.000 0.500 0.500
0.500 0.000 0.500
```

crystal system: tetragonal
total DFT energy (no corrections): -46.81 eV/cell